[1]
CsIrPdO2 after structural relaxation, computed with PBE-GGA.

Unit cell a=4.0402 b=4.0402 c=5.3345 alpha=90.00 beta=90.00 gamma=90.00
With the nearest neighbours (Å) after each atom.
Space group P4/mmm (No. 123)
Asymmetric unit:
Cs (0.0000, 0.0000, 0.0000) [1 per cell]  4 Ir 2.86
Ir (0.5000, 0.5000, 0.0000) [1 per cell]  2 Pd 2.67, 4 Cs 2.86
Pd (0.5000, 0.5000, 0.5000) [1 per cell]  4 O 2.02
O (0.0000, 0.5000, 0.5000) [2 per cell]  2 Pd 2.02

Summary:
crystal system: tetragonal
D(E_F): 6.96 states/eV per cell
magnetic moment: 1.208 μB/cell
formation energy (no corrections): 656.4 meV/atom
ρ: 8.8 g/cm3

=====

[2]
Cs2IrPdO6 after structural relaxation, computed with PBE-GGA.

Unit cell a=6.4904 b=6.4904 c=5.3607 alpha=90.00 beta=90.00 gamma=120.00
With the nearest neighbours (Å) after each atom.
Space group P-3m1 (No. 164)
Asymmetric unit:
Cs (0.3333, 0.6667, 0.2336) [2 per cell]  12 O 3.27-3.51
Ir (0.0000, 0.0000, 0.5000) [1 per cell]  6 O 1.97
Pd (0.0000, 0.0000, 0.0000) [1 per cell]  6 O 2.06
O (0.1335, 0.2669, 0.7374) [6 per cell]  1 Ir 1.97, 1 Pd 2.06

Summary:
crystal system: trigonal
D(E_F): 0.61 states/eV per cell
magnetic moment: 3.050 μB/cell
formation energy (no corrections): -899.3 meV/atom
ρ: 5.6 g/cm3

=====

[3]
Cs2PmIr3O12 after structural relaxation, computed with PBE-GGA.

Unit cell a=7.3468 b=7.3468 c=19.5386 alpha=90.00 beta=90.00 gamma=120.00
With the nearest neighbours (Å) after each atom.
Space group R-3m (No. 166, hexagonal axes)
Asymmetric unit:
Cs (0.0000, 0.0000, 0.1120) [6 per cell]  9 O 3.24-3.52
Pm (0.0000, 0.0000, 0.5000) [3 per cell]  6 O 2.32
Ir (0.0000, 0.5000, 0.0000) [9 per cell]  6 O 1.89-1.95
O (0.0412, 0.5206, 0.0958) [18 per cell]  1 Ir 1.89
O (0.0707, 0.5354, 0.3441) [18 per cell]  2 Ir 1.95

Summary:
crystal system: trigonal
D(E_F): 28.82 states/eV per cell
magnetic moment: 13.744 μB/cell
formation energy (no corrections): -1185.3 meV/atom
ρ: 6.4 g/cm3

=====

[4]
Cs2Pm2IrO6 after structural relaxation, computed with PBE-GGA.

Unit cell a=6.0397 b=10.3454 c=7.2021 alpha=90.00 beta=104.25 gamma=90.00
With the nearest neighbours (Å) after each atom.
Space group C2/m (No. 12)
Asymmetric unit:
Cs (0.0000, 0.1644, 0.0000) [4 per cell]  6 O 3.00-3.30
Pm (0.0000, 0.3350, 0.5000) [4 per cell]  6 O 2.37-2.38
Ir (0.0000, 0.0000, 0.5000) [2 per cell]  6 O 2.10-2.11
O (0.1959, 0.1514, 0.6555) [8 per cell]  1 Ir 2.11
O (0.2484, 0.0000, 0.3409) [4 per cell]  1 Ir 2.10

Summary:
crystal system: monoclinic
D(E_F): 16.18 states/eV per cell
magnetic moment: 2.106 μB/cell
formation energy (no corrections): -1991.6 meV/atom
ρ: 6.4 g/cm3

=====

[5]
CsPmIr2O8 after structural relaxation, computed with PBE-GGA.

Unit cell a=6.0544 b=6.0544 c=8.6148 alpha=90.00 beta=90.00 gamma=120.00
With the nearest neighbours (Å) after each atom.
Space group P-3 (No. 147)
Asymmetric unit:
Cs (0.0000, 0.0000, 0.0000) [1 per cell]  12 O 3.39-3.52
Pm (0.0000, 0.0000, 0.5000) [1 per cell]  6 O 2.31
Ir (0.3333, 0.6667, 0.7495) [2 per cell]  4 O 1.78-1.84
O (0.1499, 0.3443, 0.6673) [6 per cell]  1 Ir 1.84
O (0.3333, 0.6667, 0.9565) [2 per cell]  1 Ir 1.78

Summary:
crystal system: trigonal
D(E_F): 7.70 states/eV per cell
magnetic moment: 2.095 μB/cell
formation energy (no corrections): -1164.6 meV/atom
ρ: 4.8 g/cm3

=====

[6]
CsPrIrO6 after structural relaxation, computed with PBE-GGA.

Unit cell a=5.8523 b=5.8523 c=6.4824 alpha=90.00 beta=90.00 gamma=120.00
With the nearest neighbours (Å) after each atom.
Space group P312 (No. 149)
Asymmetric unit:
Cs (0.0000, 0.0000, 0.0000) [1 per cell]  6 O 3.12
Pr (0.3333, 0.6667, 0.5000) [1 per cell]  6 O 2.37
Ir (0.6667, 0.3333, 0.5000) [1 per cell]  6 O 1.90
O (0.4127, 0.0589, 0.6690) [6 per cell]  1 Ir 1.90

Summary:
crystal system: trigonal
D(E_F): 5.62 states/eV per cell
magnetic moment: 0.813 μB/cell
formation energy (no corrections): -1405.7 meV/atom
ρ: 4.9 g/cm3

=====

[7]
Cs2Pr2IrO6 after structural relaxation, computed with PBE-GGA.

Unit cell a=6.1260 b=10.4791 c=7.2121 alpha=90.00 beta=104.04 gamma=90.00
With the nearest neighbours (Å) after each atom.
Space group C2/m (No. 12)
Asymmetric unit:
Cs (0.0000, 0.1636, 0.0000) [4 per cell]  6 O 3.00-3.36
Pr (0.0000, 0.3352, 0.5000) [4 per cell]  6 O 2.41-2.43
Ir (0.0000, 0.0000, 0.5000) [2 per cell]  6 O 2.10-2.11
O (0.1927, 0.1495, 0.6557) [8 per cell]  1 Ir 2.11
O (0.2433, 0.0000, 0.3394) [4 per cell]  1 Ir 2.10

Summary:
crystal system: monoclinic
D(E_F): 16.14 states/eV per cell
magnetic moment: 2.107 μB/cell
formation energy (no corrections): -1935.3 meV/atom
ρ: 6.2 g/cm3

=====

[8]
Cs3Pr3IrO8 after structural relaxation, computed with PBE-GGA.

Unit cell a=7.1835 b=7.1835 c=20.8330 alpha=90.00 beta=90.00 gamma=120.00
With the nearest neighbours (Å) after each atom.
Space group R-3m (No. 166, hexagonal axes)
Asymmetric unit:
Cs (0.0000, 0.5000, 0.0000) [9 per cell]  6 O 3.09-3.10
Pr (0.0000, 0.5000, 0.5000) [9 per cell]  6 O 2.38-2.45
Ir (0.0000, 0.0000, 0.5000) [3 per cell]  6 O 2.14
O (0.0000, 0.0000, 0.2231) [6 per cell]  3 Pr 2.38
O (0.0371, 0.5185, 0.2185) [18 per cell]  1 Ir 2.14

Summary:
crystal system: trigonal
D(E_F): 20.83 states/eV per cell
magnetic moment: 3.190 μB/cell
formation energy (no corrections): -2074.3 meV/atom
ρ: 6.1 g/cm3

=====

Q: Look up the magnetic moment of the seventh one.
A: 2.107 μB/cell

=====

Q: Among the records above, which one has the lowest magnetic moment?
A: CsPrIrO6

=====

Q: Which formula does entry 6 have?
A: CsPrIrO6

=====

Copy entry 1 word for word.
CsIrPdO2 after structural relaxation, computed with PBE-GGA.

Unit cell a=4.0402 b=4.0402 c=5.3345 alpha=90.00 beta=90.00 gamma=90.00
With the nearest neighbours (Å) after each atom.
Space group P4/mmm (No. 123)
Asymmetric unit:
Cs (0.0000, 0.0000, 0.0000) [1 per cell]  4 Ir 2.86
Ir (0.5000, 0.5000, 0.0000) [1 per cell]  2 Pd 2.67, 4 Cs 2.86
Pd (0.5000, 0.5000, 0.5000) [1 per cell]  4 O 2.02
O (0.0000, 0.5000, 0.5000) [2 per cell]  2 Pd 2.02

Summary:
crystal system: tetragonal
D(E_F): 6.96 states/eV per cell
magnetic moment: 1.208 μB/cell
formation energy (no corrections): 656.4 meV/atom
ρ: 8.8 g/cm3